(1)
A plane-wave DFT calculation with PBE-GGA was carried out for crystalline La2AlBi at its relaxed geometry.

Properties
Polymorph energy (0 for the lowest one) in meV per atom: 110
Density in Mg/m³: 6.935
Symmetry: Fm-3m (225)

Structure (CIF):
```
data_La2AlBi
_space_group_name_H-M_alt 'P 1'
_space_group_IT_number 1
_cell_length_a 5.583
_cell_length_b 5.583
_cell_length_c 5.583
_cell_angle_alpha 60.00
_cell_angle_beta 60.00
_cell_angle_gamma 60.00
loop_
_space_group_symop_operation_xyz
'x,y,z'
loop_
_atom_site_label
_atom_site_fract_x
_atom_site_fract_y
_atom_site_fract_z
Bi1 0.500 0.500 0.500
Al1 0.000 0.000 0.000
La1 0.250 0.250 0.250
La2 0.750 0.750 0.750
```

(2)
A plane-wave DFT calculation with PBE-GGA was carried out for crystalline TbPm2Nd2Y4 at its relaxed geometry.

Properties
Density in Mg/m³: 6.031
Symmetry: C2/m (12)

Structure (CIF):
```
data_TbPm2Nd2Y4
_space_group_name_H-M_alt 'P 1'
_space_group_IT_number 1
_cell_length_a 3.644
_cell_length_b 9.631
_cell_length_c 9.694
_cell_angle_alpha 115.24
_cell_angle_beta 90.00
_cell_angle_gamma 100.90
loop_
_space_group_symop_operation_xyz
'x,y,z'
loop_
_atom_site_label
_atom_site_fract_x
_atom_site_fract_y
_atom_site_fract_z
Tb1 0.000 0.000 0.000
Y1 0.815 0.630 0.665
Pm1 0.148 0.296 0.664
Y2 0.519 0.038 0.333
Pm2 0.852 0.704 0.336
Y3 0.185 0.370 0.335
Nd1 0.335 0.669 0.000
Nd2 0.665 0.331 0.000
Y4 0.481 0.962 0.667
```

no.,formation energy from the elements (eV per atom)
1,-0.462
2,0.000